No. 1
The following is a PBE calculation of a relaxed structure of LiY2ScAg, from the Alexandria database.

The crystal system is tetragonal. As for the total energy: -0.163 hartree per atom. The calculation puts the formation enthalpy at 0 K at 0.370 eV/atom. The value obtained for the spin magnetization is 0.84 Bohr magnetons per cell.

a b c (Å): 5.6053 5.6053 5.2507
angles (deg): 90.00 90.00 90.00
Element x y z (fractional)
Li 0.0000 0.0000 0.0000
Y 0.0000 0.5000 0.5000
Y 0.5000 0.0000 0.5000
Sc 0.5000 0.5000 0.0000
Ag 0.5000 0.5000 0.5000

***

No. 2
The following is a PBE calculation of a relaxed structure of Re2TcCl, from the Alexandria database.

The crystal system is tetragonal. As for the relative energy among the computed polymorphs: 721 meV per atom. As for the total energy: -0.302 hartree per atom. The uncorrected formation energy comes out at 1.05 eV per atom. The value obtained for the spin magnetization is 0.00 Bohr magnetons per cell.

a b c (Å): 4.5581 4.5581 2.8680
angles (deg): 90.00 90.00 90.00
Element x y z (fractional)
Re 0.0000 0.5000 0.0000
Re 0.5000 0.0000 0.0000
Tc 0.0000 0.0000 0.5000
Cl 0.5000 0.5000 0.5000

***

No. 3
The following is a PBE calculation of a relaxed structure of Cr3NiC, from the Alexandria database.

The crystal system is cubic. As for the relative energy among the computed polymorphs: 93 meV per atom. As for the total energy: -0.318 hartree per atom. The calculation puts the formation enthalpy at 0 K at 0.134 eV/atom. The value obtained for the spin magnetization is 0.00 Bohr magnetons per cell.

a b c (Å): 3.7940 3.7940 3.7940
angles (deg): 90.00 90.00 90.00
Element x y z (fractional)
Cr 0.0000 0.0000 0.5000
Cr 0.0000 0.5000 0.0000
Cr 0.5000 0.0000 0.0000
Ni 0.5000 0.5000 0.5000
C 0.0000 0.0000 0.0000

***

- Which of these has the highest spin magnetization?
  LiY2ScAg